Entry from the Open Quantum Materials Database: an optimized crystal structure of AlCoMoPt (GGA-PBE).

Cell and atoms, written as CIF:
```
data_AlCoMoPt
_chemical_formula_sum 'Al4 Co4 Mo4 Pt4'
_space_group_name_H-M_alt 'F -4 3 m'
_space_group_IT_number 216
_space_group_name_Hall 'F -4 2 3'
_cell_length_a 6.115
_cell_length_b 6.115
_cell_length_c 6.115
_cell_angle_alpha 90.00
_cell_angle_beta 90.00
_cell_angle_gamma 90.00
loop_
_atom_site_label
_atom_site_type_symbol
_atom_site_fract_x
_atom_site_fract_y
_atom_site_fract_z
Al1 Al 0.000 0.000 0.000
Co1 Co 0.250 0.250 0.250
Mo1 Mo 0.000 0.000 0.500
Pt1 Pt 0.250 0.250 0.750
```

Values from the calculation:
**Raw total energy**: -113.65 eV per cell
**Offset from the most stable computed form**: 0.000 eV/atom